# MnPt3O6 GGA+U optimized geometry
# D(E_F) = 0.21 states/eV per cell
# Uncorrected energy = -0.464 Ry per atom
data_MnPt3O6
_cell_length_a 3.242
_cell_length_b 6.227
_cell_length_c 6.227
_cell_angle_alpha 109.02
_cell_angle_beta 90.00
_cell_angle_gamma 90.00
_symmetry_space_group_name_H-M 'P 1'
_symmetry_Int_Tables_number 1
_symmetry_space_group_name_Hall 'P 1'
loop_
_atom_site_label
_atom_site_type_symbol
_atom_site_fract_x
_atom_site_fract_y
_atom_site_fract_z
Pt1 Pt 0.000 0.000 0.000
O1 O 0.000 0.338 0.083
O2 O 0.000 0.917 0.662
O3 O 0.500 0.348 0.652
Mn1 Mn 0.000 0.500 0.500
Pt2 Pt 0.500 0.000 0.500
Pt3 Pt 0.500 0.500 0.000
O4 O 0.500 0.652 0.348
O5 O 0.000 0.083 0.338
O6 O 0.000 0.662 0.917